1.
# LaHgPt3, optimized geometry, DFT PBE
# DFT formation energy: 0.210 eV per atom
# Volume: 128 Å³/cell
# Total energy: -22.30 eV per cell
# Space group: Pm-3m
# Offset from the most stable computed form: 0.0 meV per atom
data_LaHgPt3
_space_group_name_H-M_alt 'P 1'
_space_group_IT_number 1
_cell_length_a 5.0345
_cell_length_b 5.0345
_cell_length_c 5.0345
_cell_angle_alpha 90.00
_cell_angle_beta 90.00
_cell_angle_gamma 90.00
loop_
_space_group_symop_operation_xyz
'x,y,z'
loop_
_atom_site_label
_atom_site_type_symbol
_atom_site_fract_x
_atom_site_fract_y
_atom_site_fract_z
Pt1 Pt 0.0000 0.5000 0.0000
Pt2 Pt 0.5000 0.0000 0.0000
Pt3 Pt 0.0000 0.0000 0.5000
Hg1 Hg 0.0000 0.0000 0.0000
La1 La 0.5000 0.5000 0.5000


2.
# La6HgPt4, optimized geometry, DFT PBE
# DFT formation energy: -0.964 eV per atom
# Volume: 660 Å³/cell
# Total energy: -129.27 eV per cell
# Space group: Cmcm
data_La6HgPt4
_space_group_name_H-M_alt 'P 1'
_space_group_IT_number 1
_cell_length_a 4.2369
_cell_length_b 7.4482
_cell_length_c 21.8172
_cell_angle_alpha 90.00
_cell_angle_beta 90.00
_cell_angle_gamma 106.52
loop_
_space_group_symop_operation_xyz
'x,y,z'
loop_
_atom_site_label
_atom_site_type_symbol
_atom_site_fract_x
_atom_site_fract_y
_atom_site_fract_z
La1 La 0.5000 0.0000 0.5000
La2 La 0.7700 0.5400 0.0834
La3 La 0.9598 0.9197 0.8425
La4 La 0.2300 0.4600 0.5834
La5 La 0.6708 0.3417 0.7500
La6 La 0.0402 0.0803 0.1575
La7 La 0.5000 0.0000 0.0000
La8 La 0.9598 0.9197 0.6575
La9 La 0.7700 0.5400 0.4166
La10 La 0.3292 0.6583 0.2500
La11 La 0.2300 0.4600 0.9166
La12 La 0.0402 0.0803 0.3425
Pt1 Pt 0.8628 0.7256 0.9588
Pt2 Pt 0.5949 0.1898 0.6262
Pt3 Pt 0.1372 0.2744 0.0412
Pt4 Pt 0.4051 0.8102 0.1262
Pt5 Pt 0.4051 0.8102 0.3738
Pt6 Pt 0.8628 0.7256 0.5412
Pt7 Pt 0.5949 0.1898 0.8738
Pt8 Pt 0.1372 0.2744 0.4588
Hg1 Hg 0.3445 0.6889 0.7500
Hg2 Hg 0.6555 0.3111 0.2500


3.
# La3Hg2Pt3, optimized geometry, DFT PBE
# DFT formation energy: -0.870 eV per atom
# Volume: 419 Å³/cell
# Total energy: -80.94 eV per cell
# Space group: P6_3/mcm
data_La3Hg2Pt3
_space_group_name_H-M_alt 'P 1'
_space_group_IT_number 1
_cell_length_a 6.1007
_cell_length_b 8.9083
_cell_length_c 8.9083
_cell_angle_alpha 120.00
_cell_angle_beta 90.00
_cell_angle_gamma 90.00
loop_
_space_group_symop_operation_xyz
'x,y,z'
loop_
_atom_site_label
_atom_site_type_symbol
_atom_site_fract_x
_atom_site_fract_y
_atom_site_fract_z
Pt1 Pt 0.7500 0.0000 0.6458
Pt2 Pt 0.2500 0.3542 0.0000
Pt3 Pt 0.2500 0.0000 0.3542
Pt4 Pt 0.7500 0.6458 0.0000
Pt5 Pt 0.7500 0.3542 0.3542
Pt6 Pt 0.2500 0.6458 0.6458
Hg1 Hg 0.5000 0.3333 0.6667
Hg2 Hg 0.5000 0.6667 0.3333
Hg3 Hg 0.0000 0.6667 0.3333
Hg4 Hg 0.0000 0.3333 0.6667
La1 La 0.7500 0.0000 0.3064
La2 La 0.2500 0.3064 0.3064
La3 La 0.7500 0.3064 0.0000
La4 La 0.7500 0.6936 0.6936
La5 La 0.2500 0.6936 0.0000
La6 La 0.2500 0.0000 0.6936